Entry 1:
Material: Y2CdRe
Method: DFT, GGA-PBE
State: relaxed

Calculated values
Space group   F-43m, No. 216
Final energy   -24.9 eV for the cell shown
Total magnetic moment   0.00 μB/f.u.
Calculated volume   21.97 Å³ per atom
Energy relative to the elements   0.35 eV per atom

Cell: 4.991 4.991 4.991 Å, 60.00 60.00 60.00°
Positions (direct):
Cd1 0.500 0.500 0.500
Re1 0.750 0.750 0.750
Y1 0.000 0.000 0.000
Y2 0.250 0.250 0.250


Entry 2:
Material: YCdRe4
Method: DFT, GGA-PBE
State: relaxed

Calculated values
Space group   F-43m, No. 216
Final energy   -56.4 eV for the cell shown
Total magnetic moment   0.00 μB/f.u.
Calculated volume   18.13 Å³ per atom
Energy relative to the elements   0.13 eV per atom

Cell: 5.359 5.359 5.359 Å, 60.00 60.00 60.00°
Positions (direct):
Y1 0.750 0.750 0.750
Cd1 0.000 0.000 0.000
Re1 0.876 0.375 0.375
Re2 0.375 0.375 0.876
Re3 0.375 0.876 0.375
Re4 0.375 0.375 0.375


Entry 3:
Material: Y2CdRe
Method: DFT, GGA-PBE
State: relaxed

Calculated values
Space group   P4mm, No. 99
Final energy   -25.0 eV for the cell shown
Total magnetic moment   0.03 μB/f.u.
Calculated volume   24.72 Å³ per atom
Energy relative to the elements   0.33 eV per atom

Cell: 3.644 3.644 7.443 Å, 90.00 90.00 90.00°
Positions (direct):
Cd1 0.000 0.000 0.538
Re1 0.500 0.500 0.709
Y1 0.000 0.000 0.937
Y2 0.500 0.500 0.316